A plane-wave DFT calculation with PBE was carried out for a relaxed La6Sn2C crystal.

Lattice parameters (Å, degrees): 7.2392 7.2372 10.2656 90.00 90.00 90.00
Site moments in Bohr magnetons follow the coordinates.
Sites, in units of the cell vectors:
La1 0.0000 0.0000 0.7454  0.10
La2 0.0000 0.0000 0.2546  0.10
La3 0.2462 0.2461 0.5000  0.10
La4 0.7460 0.7464 0.0000  0.10
La5 0.2460 0.7536 0.5000  0.10
La6 0.7538 0.7539 0.5000  0.10
La7 0.2540 0.2536 0.0000  0.10
La8 0.5000 0.5000 0.2454  0.10
La9 0.2538 0.7461 0.0000  0.10
La10 0.7462 0.2539 0.0000  0.10
La11 0.5000 0.5000 0.7546  0.10
La12 0.7540 0.2464 0.5000  0.10
Sn1 0.5000 0.0000 0.7500  0.00
Sn2 0.0000 0.5000 0.7500  0.00
Sn3 0.0000 0.5000 0.2500  0.00
Sn4 0.5000 0.0000 0.2500  0.00
C1 0.5000 0.5000 0.0000  0.01
C2 0.0000 0.0000 0.5000  0.01

Output
The calculation puts the formation energy at -0.483 eV/atom. As for the total magnetization: 1.46 μB/f.u. Its crystal system is tetragonal. Its energy is -5.68 eV per atom.